1.
Density functional theory data (SCAN) for a crystal of KTeOsN2 relaxed with PBEsol.

Cell lengths 4.441, 4.441, 6.555 Å; angles 90.00, 90.00, 90.00 degrees
Site moments in Bohr magnetons follow the coordinates.
Positions (direct):
K: 0.000 0.000 0.000  0.17
Te: 0.000 0.000 0.500  0.00
Os: 0.500 0.500 0.500  2.43
N: 0.000 0.500 0.000  1.76
N: 0.500 0.000 0.000  1.76

Calculated values
DOS at the Fermi energy   0.48 states/eV/atom
Formation energy without anion corrections   2.8630 eV per atom
Space group   No. 123
Magnetic moment   1.652 μB/atom
Crystal system   tetragonal


2.
Density functional theory data (SCAN) for a crystal of KPS2N relaxed with PBEsol.

Cell lengths 4.691, 5.463, 5.463 Å; angles 90.00, 90.00, 90.00 degrees
Site moments in Bohr magnetons follow the coordinates.
Positions (direct):
P: 0.500 0.500 0.500  -0.90
K: 0.000 0.000 0.000  0.07
S: 0.000 0.000 0.500  0.66
S: 0.000 0.500 0.000  0.66
N: 0.500 0.000 0.000  1.88

Calculated values
DOS at the Fermi energy   0.91 states/eV/atom
Formation energy without anion corrections   2.0033 eV per atom
Space group   No. 123
Magnetic moment   0.600 μB/atom
Crystal system   tetragonal


3.
Density functional theory data (SCAN) for a crystal of KTe2PN relaxed with PBEsol.

Cell lengths 3.210, 6.123, 6.123 Å; angles 90.00, 90.00, 90.00 degrees
Positions (direct):
P: 0.000 0.000 0.000
K: 0.500 0.500 0.500
Te: 0.000 0.000 0.500
Te: 0.000 0.500 0.000
N: 0.500 0.000 0.000

Calculated values
DOS at the Fermi energy   0.49 states/eV/atom
Formation energy without anion corrections   0.0343 eV per atom
Space group   No. 123
Magnetic moment   0.000 μB/atom
Crystal system   tetragonal


4.
Density functional theory data (SCAN) for a crystal of KPbSe2N relaxed with PBEsol.

Cell lengths 4.539, 5.514, 5.514 Å; angles 90.00, 90.00, 90.00 degrees
Site moments in Bohr magnetons follow the coordinates.
Positions (direct):
Pb: 0.000 0.000 0.000  -0.06
K: 0.500 0.500 0.500  0.00
Se: 0.000 0.000 0.500  0.17
Se: 0.000 0.500 0.000  0.17
N: 0.500 0.000 0.000  1.24

Calculated values
DOS at the Fermi energy   0.58 states/eV/atom
Formation energy without anion corrections   0.3326 eV per atom
Space group   No. 123
Magnetic moment   0.453 μB/atom
Crystal system   tetragonal


5.
Density functional theory data (SCAN) for a crystal of KPd2N relaxed with PBEsol.

Cell lengths 5.480, 5.480, 6.759 Å; angles 113.91, 113.91, 90.00 degrees
Positions (direct):
K: 0.000 0.000 0.000
K: 0.250 0.750 0.500
Pd: 0.625 0.375 0.750
Pd: 0.125 0.375 0.750
Pd: 0.625 0.875 0.250
Pd: 0.625 0.375 0.250
N: 0.500 0.500 0.000
N: 0.750 0.250 0.500

Calculated values
DOS at the Fermi energy   0.44 states/eV/atom
Formation energy without anion corrections   0.0628 eV per atom
Space group   No. 141
Magnetic moment   0.000 μB/atom
Crystal system   tetragonal


6.
Density functional theory data (SCAN) for a crystal of KTe2PdN relaxed with PBEsol.

Cell lengths 4.567, 5.837, 5.837 Å; angles 90.00, 90.00, 90.00 degrees
Site moments in Bohr magnetons follow the coordinates.
Positions (direct):
K: 0.000 0.000 0.000  0.07
Te: 0.000 0.000 0.500  0.28
Te: 0.000 0.500 0.000  0.28
Pd: 0.500 0.500 0.500  0.26
N: 0.500 0.000 0.000  1.81

Calculated values
DOS at the Fermi energy   0.98 states/eV/atom
Formation energy without anion corrections   1.7144 eV per atom
Space group   No. 123
Magnetic moment   0.775 μB/atom
Crystal system   tetragonal


7.
Density functional theory data (SCAN) for a crystal of KPt3N relaxed with PBEsol.

Cell lengths 4.921, 4.921, 4.921 Å; angles 90.00, 90.00, 90.00 degrees
Site moments in Bohr magnetons follow the coordinates.
Positions (direct):
K: 0.000 0.000 0.000  -0.01
Pt: 0.000 0.500 0.000  0.42
Pt: 0.000 0.000 0.500  0.42
Pt: 0.500 0.000 0.000  0.42
N: 0.500 0.500 0.500  1.81

Calculated values
DOS at the Fermi energy   0.61 states/eV/atom
Formation energy without anion corrections   3.3655 eV per atom
Space group   No. 221
Magnetic moment   0.758 μB/atom
Crystal system   cubic


8.
Density functional theory data (SCAN) for a crystal of KSc2PtN relaxed with PBEsol.

Cell lengths 4.936, 4.936, 6.292 Å; angles 90.00, 90.00, 90.00 degrees
Site moments in Bohr magnetons follow the coordinates.
Positions (direct):
Sc: 0.000 0.500 0.000  0.07
Sc: 0.500 0.000 0.000  0.07
K: 0.000 0.000 0.500  0.00
Pt: 0.000 0.000 0.000  0.02
N: 0.500 0.500 0.500  1.50

Calculated values
DOS at the Fermi energy   0.64 states/eV/atom
Formation energy without anion corrections   0.6710 eV per atom
Space group   No. 123
Magnetic moment   0.453 μB/atom
Crystal system   tetragonal